[1]
Compound: LaSnOs3
Source: Alexandria via LeMat-Bulk
Functional: PBE-GGA
Structure: optimized geometry

Properties
Energy = -6.989 eV per atom
DFT formation energy = 1.535 eV per atom
Energy above the lowest structure with this stoichiometry = 0.0 meV/atom
Mass density = 11.8 g/cm3
Size of the total moment = 0.00 μB per formula unit

a = 4.8899 Å, b = 4.8899 Å, c = 4.8899 Å
α = 90.00°, β = 90.00°, γ = 90.00°
Last column: nearest neighbours and their distance in Å.
Space group Pm-3m (No. 221)
Asymmetric unit:
1 La 0.0000 0.0000 0.0000  12 Os 3.46
2 Sn 0.5000 0.5000 0.5000  6 Os 2.44
3 Os 0.0000 0.5000 0.5000  2 Sn 2.44



[2]
Compound: CsNF3
Source: Alexandria via LeMat-Bulk
Functional: PBE-GGA
Structure: optimized geometry

Properties
Energy = -3.426 eV per atom
Energy above the lowest structure with this stoichiometry = 463.0 meV/atom
Mass density = 4.6 g/cm3
Size of the total moment = 1.00 μB per formula unit
Raw formation energy = -468 meV per atom

a = 4.1834 Å, b = 4.1834 Å, c = 4.1834 Å
α = 90.00°, β = 90.00°, γ = 90.00°
Last column: nearest neighbours and their distance in Å.
Space group Pm-3m (No. 221)
Asymmetric unit:
1 Cs 0.0000 0.0000 0.0000  12 F 2.96
2 N 0.5000 0.5000 0.5000  6 F 2.09
3 F 0.0000 0.5000 0.5000  2 N 2.09